PBE KTe2Ir, optimized geometry; magnetization = 0.00 μB per cell; volume = 155.41 Å³ per cell; formation energy (no corrections) = -19.6 meV per atom; space group = Cmmm (65)
1.0
2.022 -4.384 0.000
2.022 4.384 0.000
0.000 0.000 8.767
K Te Ir
1 2 1
direct
0.000 0.000 0.000 K
0.500 0.500 0.314 Te
0.500 0.500 0.686 Te
0.000 0.000 0.500 Ir

***

PBE KTe2Ir, optimized geometry; magnetization = 0.00 μB per cell; volume = 115.60 Å³ per cell; formation energy (no corrections) = -521.4 meV per atom; space group = R3m (160)
1.0
2.074 1.197 7.761
-2.074 1.197 7.761
0.000 -2.394 7.761
K Te Ir
1 2 1
direct
0.000 0.000 0.000 K
0.555 0.555 0.555 Te
0.779 0.779 0.779 Te
0.167 0.167 0.167 Ir

***

PBE KTe2Ir, optimized geometry; magnetization = 0.00 μB per cell; volume = 100.31 Å³ per cell; formation energy (no corrections) = 682.8 meV per atom; space group = F-43m (216)
1.0
0.000 3.688 3.688
3.688 0.000 3.688
3.688 3.688 0.000
K Te Ir
1 2 1
direct
0.000 0.000 0.000 K
0.250 0.250 0.250 Te
0.500 0.500 0.500 Te
0.750 0.750 0.750 Ir